(1)
# PrSn5 (PBE, optimized geometry)
data_PrSn5
_cell_length_a 4.696
_cell_length_b 15.341
_cell_length_c 4.626
_cell_angle_alpha 90.00
_cell_angle_beta 90.00
_cell_angle_gamma 90.00
_space_group_name_H-M_alt 'C m m m'
_space_group_IT_number 65
_space_group_name_Hall '-C 2 2'
loop_
_atom_site_label
_atom_site_type_symbol
_atom_site_fract_x
_atom_site_fract_y
_atom_site_fract_z
Pr1 Pr 0.000 0.000 0.000
Sn1 Sn 0.000 0.172 0.500
Sn2 Sn 0.000 0.339 0.000
Sn3 Sn 0.000 0.500 0.500
# Polymorph energy (0 for the lowest one) = 28 meV/atom
# Crystal system = orthorhombic
# Formation energy from the elements = -0.27 eV/atom

***

(2)
# Sb4MoSe (PBE, optimized geometry)
data_Sb4MoSe
_cell_length_a 8.661
_cell_length_b 8.661
_cell_length_c 8.661
_cell_angle_alpha 90.00
_cell_angle_beta 90.00
_cell_angle_gamma 90.00
_space_group_name_H-M_alt 'F -4 3 m'
_space_group_IT_number 216
_space_group_name_Hall 'F -4 2 3'
loop_
_atom_site_label
_atom_site_type_symbol
_atom_site_fract_x
_atom_site_fract_y
_atom_site_fract_z
Sb1 Sb 0.124 0.124 0.124
Mo1 Mo 0.000 0.000 0.500
Se1 Se 0.250 0.250 0.750
# Crystal system = cubic
# ΔE_f (raw) = 0.8884 eV per atom

***

(3)
# ScAuN2F (PBE, optimized geometry)
data_ScAuN2F
_cell_length_a 4.073
_cell_length_b 4.073
_cell_length_c 4.133
_cell_angle_alpha 90.00
_cell_angle_beta 90.00
_cell_angle_gamma 90.00
_space_group_name_H-M_alt 'P 4/m m m'
_space_group_IT_number 123
_space_group_name_Hall '-P 4 2'
loop_
_atom_site_label
_atom_site_type_symbol
_atom_site_fract_x
_atom_site_fract_y
_atom_site_fract_z
Sc1 Sc 0.000 0.000 0.000
Au1 Au 0.500 0.500 0.500
N1 N 0.000 0.500 0.500
F1 F 0.500 0.500 0.000
# Polymorph energy (0 for the lowest one) = 458 meV/atom
# Crystal system = tetragonal
# ΔE_f (raw) = 0.4929 eV per atom

***

(4)
# Sc2AsIBr (PBE, optimized geometry)
data_Sc2AsIBr
_cell_length_a 5.450
_cell_length_b 5.450
_cell_length_c 5.278
_cell_angle_alpha 90.00
_cell_angle_beta 90.00
_cell_angle_gamma 90.00
_space_group_name_H-M_alt 'P 4/m m m'
_space_group_IT_number 123
_space_group_name_Hall '-P 4 2'
loop_
_atom_site_label
_atom_site_type_symbol
_atom_site_fract_x
_atom_site_fract_y
_atom_site_fract_z
Sc1 Sc 0.000 0.500 0.000
As1 As 0.000 0.000 0.500
I1 I 0.000 0.000 0.000
Br1 Br 0.500 0.500 0.500
# Crystal system = tetragonal
# ΔE_f (raw) = 0.4307 eV per atom

***

(5)
# TiZn4Pd (PBE, optimized geometry)
data_TiZn4Pd
_cell_length_a 8.955
_cell_length_b 5.494
_cell_length_c 4.533
_cell_angle_alpha 90.00
_cell_angle_beta 90.00
_cell_angle_gamma 90.00
_space_group_name_H-M_alt 'P m m a'
_space_group_IT_number 51
_space_group_name_Hall '-P 2a 2a'
loop_
_atom_site_label
_atom_site_type_symbol
_atom_site_fract_x
_atom_site_fract_y
_atom_site_fract_z
Ti1 Ti 0.250 0.000 0.071
Zn1 Zn 0.000 0.256 0.000
Zn2 Zn 0.250 0.256 0.569
Pd1 Pd 0.250 0.500 0.072
# Polymorph energy (0 for the lowest one) = 120 meV/atom
# Crystal system = orthorhombic
# Formation energy from the elements = -0.09 eV/atom

***

(6)
# CdBr2Cl (PBE, optimized geometry)
data_CdBr2Cl
_cell_length_a 7.297
_cell_length_b 7.297
_cell_length_c 7.297
_cell_angle_alpha 90.00
_cell_angle_beta 90.00
_cell_angle_gamma 90.00
_space_group_name_H-M_alt 'F m -3 m'
_space_group_IT_number 225
_space_group_name_Hall '-F 4 2 3'
loop_
_atom_site_label
_atom_site_type_symbol
_atom_site_fract_x
_atom_site_fract_y
_atom_site_fract_z
Cd1 Cd 0.000 0.000 0.000
Br1 Br 0.250 0.250 0.250
Cl1 Cl 0.000 0.000 0.500
# Polymorph energy (0 for the lowest one) = 515 meV/atom
# Crystal system = cubic
# ΔE_f (raw) = -0.0458 eV per atom

***

Short version: D(E_F) = 2.42; 4.63; 2.66; 5.34; 4.51; 3.82 states/eV/f.u., in the order given.
Short version: calculated total energy = -52.88; -101.90; -25.67; -18.38; -37.40; -25.16 eV/cell, in the order given.